No. 1
{"formula": "CsNdS2", "functional": "PBEsol", "state": "optimized geometry", "lattice": [[4.1760, 0.0000, 0.0000], [-2.0880, 3.6166, 0.0000], [0.0000, 0.0000, 15.8992]], "species": ["Cs", "Cs", "Nd", "Nd", "S", "S", "S", "S"], "frac_coords": [[0.3333, 0.6667, 0.2500], [0.6667, 0.3333, 0.7500], [0.0000, 0.0000, 0.0000], [0.0000, 0.0000, 0.5000], [0.3333, 0.6667, 0.5947], [0.3333, 0.6667, 0.9053], [0.6667, 0.3333, 0.0947], [0.6667, 0.3333, 0.4053]], "spacegroup": "P6_3/mmc (194)", "e_above_lowest_polymorph_mev_per_atom": 0.0, "e_form_raw_ev_per_atom": -1.84}

No. 2
{"formula": "CaTl2Pt", "functional": "PBEsol", "state": "optimized geometry", "lattice": [[4.6213, 0.0000, 0.0000], [0.0000, 4.6213, 0.0000], [0.0000, 0.0000, 8.3555]], "species": ["Ca", "Ca", "Tl", "Tl", "Tl", "Tl", "Pt", "Pt"], "frac_coords": [[0.0000, 0.0000, 0.0000], [0.5000, 0.5000, 0.5000], [0.0000, 0.0000, 0.5000], [0.0000, 0.5000, 0.7500], [0.5000, 0.0000, 0.2500], [0.5000, 0.5000, 0.0000], [0.0000, 0.5000, 0.2500], [0.5000, 0.0000, 0.7500]], "spacegroup": "I-4m2 (119)"}

No. 3
{"formula": "Ag2SbAu", "functional": "PBEsol", "state": "optimized geometry", "lattice": [[4.1356, 0.0000, 0.0000], [0.0000, 4.1356, 0.0000], [0.0000, 0.0000, 8.6929]], "species": ["Ag", "Ag", "Ag", "Ag", "Sb", "Sb", "Au", "Au"], "frac_coords": [[0.0000, 0.5000, 0.2500], [0.0000, 0.5000, 0.7500], [0.5000, 0.0000, 0.2500], [0.5000, 0.0000, 0.7500], [0.0000, 0.0000, 0.0000], [0.5000, 0.5000, 0.5000], [0.0000, 0.0000, 0.5000], [0.5000, 0.5000, 0.0000]], "spacegroup": "I4/mmm (139)", "e_form_raw_ev_per_atom": 0.01}

No. 4
{"formula": "AlSiRu", "functional": "PBEsol", "state": "optimized geometry", "lattice": [[2.9397, 0.0000, 0.0000], [0.0000, 3.4368, 0.0000], [0.0000, 0.0000, 7.8051]], "species": ["Al", "Al", "Si", "Si", "Ru", "Ru"], "frac_coords": [[0.0000, 0.0000, 0.0000], [0.5000, 0.5000, 0.5000], [0.0000, 0.0000, 0.3236], [0.5000, 0.5000, 0.8236], [0.0000, 0.0000, 0.6710], [0.5000, 0.5000, 0.1710]], "spacegroup": "Imm2 (44)", "e_form_raw_ev_per_atom": -0.58}

No. 5
{"formula": "CaMg2Re", "functional": "PBEsol", "state": "optimized geometry", "lattice": [[6.7947, 0.0000, 0.0000], [0.0000, 6.7947, 0.0000], [0.0000, 0.0000, 6.7947]], "species": ["Ca", "Ca", "Ca", "Ca", "Mg", "Mg", "Mg", "Mg", "Mg", "Mg", "Mg", "Mg", "Re", "Re", "Re", "Re"], "frac_coords": [[0.0000, 0.0000, 0.0000], [0.0000, 0.5000, 0.5000], [0.5000, 0.0000, 0.5000], [0.5000, 0.5000, 0.0000], [0.2500, 0.2500, 0.2500], [0.2500, 0.2500, 0.7500], [0.2500, 0.7500, 0.2500], [0.2500, 0.7500, 0.7500], [0.7500, 0.2500, 0.2500], [0.7500, 0.2500, 0.7500], [0.7500, 0.7500, 0.2500], [0.7500, 0.7500, 0.7500], [0.0000, 0.0000, 0.5000], [0.0000, 0.5000, 0.0000], [0.5000, 0.0000, 0.0000], [0.5000, 0.5000, 0.5000]], "spacegroup": "Fm-3m (225)", "e_above_lowest_polymorph_mev_per_atom": 0.0}

No. 6
{"formula": "KCdIr2", "functional": "PBEsol", "state": "optimized geometry", "lattice": [[8.6075, 0.0000, 0.0000], [0.0000, 2.7723, 0.0000], [-0.7604, 0.0000, 7.5823]], "species": ["K", "K", "Cd", "Cd", "Ir", "Ir", "Ir", "Ir"], "frac_coords": [[0.0000, 0.0000, 0.0000], [0.5000, 0.5000, 0.0000], [0.2240, 0.0000, 0.6482], [0.7240, 0.5000, 0.6482], [0.2554, 0.5000, 0.3198], [0.4949, 0.0000, 0.4090], [0.7554, 0.0000, 0.3198], [0.9949, 0.5000, 0.4090]], "spacegroup": "Cm (8)"}

| no. | M_tot (Bohr magnetons per cell) | total energy (Ha/atom) |
| --- | --- | --- |
| 1 | 0.00 | -0.2043 |
| 2 | 0.00 | -0.1427 |
| 3 | 0.00 | -0.1385 |
| 4 | 0.00 | -0.2663 |
| 5 | 2.49 | -0.1532 |
| 6 | 0.00 | -0.1875 |